[1]
Material: TmPaTl
Method: DFT, PBE
State: relaxed

Computed properties:
The value obtained for the energy above the lowest structure with this stoichiometry is 0.000 eV per atom.

a b c (Å): 5.1146 5.1146 5.1146
angles (deg): 60.00 60.00 60.00
Element x y z (fractional)
Pa1 0.2500 0.2500 0.2500
Tm1 0.7500 0.7500 0.7500
Tl1 0.0000 0.0000 0.0000

=====

[2]
Material: InNiB2
Method: DFT, PBE
State: relaxed

Computed properties:
The value obtained for the total energy is -4.006 eV per atom.

a b c (Å): 4.0830 4.0830 4.0830
angles (deg): 60.00 60.00 60.00
Element x y z (fractional)
B1 0.7500 0.7500 0.7500
B2 0.0000 0.0000 0.0000
In1 0.5000 0.5000 0.5000
Ni1 0.2500 0.2500 0.2500

=====

[3]
Material: PaGaB
Method: DFT, PBE
State: relaxed

Computed properties:
The value obtained for the energy above the lowest structure with this stoichiometry is 0.782 eV per atom.

a b c (Å): 4.3243 4.3243 4.3243
angles (deg): 60.00 60.00 60.00
Site moments in Bohr magnetons follow the coordinates.
Element x y z (fractional)
B1 0.2500 0.2500 0.2500  0.01
Ga1 0.0000 0.0000 0.0000  0.01
Pa1 0.7500 0.7500 0.7500  0.22

=====

[4]
Material: SmYPd2Pb
Method: DFT, PBE
State: relaxed

Computed properties:
The value obtained for the total energy is -5.847 eV per atom.

a b c (Å): 3.6470 7.8030 7.8030
angles (deg): 32.13 90.00 90.00
Element x y z (fractional)
Pd1 0.0000 0.8062 0.8062
Pd2 0.0000 0.1923 0.1923
Pb1 0.0000 0.0013 0.0013
Y1 0.5000 0.6347 0.6347
Sm1 0.5000 0.3655 0.3655

=====

no.,total magnetic moment (μB/f.u.)
1,1.92
2,0.00
3,0.29
4,0.00